[1]
HfRu2PtF | PBE | optimized geometry

Values from the calculation:
The calculation puts the energy at -6.00 eV/atom.

Unit cell a=4.887 b=4.910 c=4.887 alpha=90.00 beta=90.00 gamma=90.00
Fractional coordinates of all 5 atoms:
Ru 0.000 0.000 0.500
Ru 0.500 0.000 0.000
Hf 0.000 0.000 0.000
Pt 0.000 0.500 0.000
F 0.500 0.500 0.500

***

[2]
Ca2CdSnSe4 | PBE | optimized geometry

Values from the calculation:
The calculation puts the energy at -4.05 eV/atom.

Unit cell a=4.207 b=7.301 c=7.312 alpha=109.80 beta=90.00 gamma=90.00
Fractional coordinates of all 8 atoms:
Ca 0.500 0.000 0.500
Ca 0.000 0.500 0.500
Cd 0.000 0.000 0.000
Sn 0.500 0.500 0.000
Se 0.500 0.239 0.243
Se 0.500 0.761 0.757
Se 0.000 0.244 0.745
Se 0.000 0.756 0.255

***

[3]
La6Sn3Ru | PBE | optimized geometry

Values from the calculation:
The value obtained for the formation energy is -12.4 kcal/mol of atoms.

Unit cell a=6.115 b=9.112 c=11.510 alpha=90.00 beta=88.61 gamma=90.00
Fractional coordinates of all 20 atoms:
La 0.593 0.152 0.938
La 0.569 0.188 0.554
La 0.598 0.471 0.270
La 0.402 0.529 0.730
La 0.431 0.812 0.446
La 0.407 0.848 0.062
La 0.093 0.348 0.438
La 0.069 0.312 0.054
La 0.098 0.029 0.770
La 0.902 0.971 0.230
La 0.931 0.688 0.946
La 0.907 0.652 0.562
Sn 0.588 0.872 0.742
Sn 0.500 0.500 0.000
Sn 0.412 0.128 0.258
Sn 0.088 0.628 0.242
Sn 0.000 0.000 0.500
Sn 0.912 0.372 0.758
Ru 0.500 0.500 0.500
Ru 0.000 0.000 0.000

***

[4]
CaTm5Zn4 | PBE | optimized geometry

Values from the calculation:
The value obtained for the formation energy is -5.7 kcal/mol of atoms.

Unit cell a=3.547 b=3.547 c=19.520 alpha=90.00 beta=90.00 gamma=90.00
Fractional coordinates of all 10 atoms:
Ca 0.000 0.000 0.000
Tm 0.500 0.500 0.146
Tm 0.500 0.500 0.321
Tm 0.500 0.500 0.500
Tm 0.500 0.500 0.679
Tm 0.500 0.500 0.854
Zn 0.000 0.000 0.231
Zn 0.000 0.000 0.410
Zn 0.000 0.000 0.590
Zn 0.000 0.000 0.769

***

[5]
LiReSi2 | PBE | optimized geometry

Values from the calculation:
As for the energy above the most stable polymorph in this dataset: 0.0 meV per atom.

Unit cell a=3.120 b=3.120 c=5.384 alpha=90.00 beta=90.00 gamma=90.00
Fractional coordinates of all 4 atoms:
Li 0.500 0.500 0.250
Re 0.500 0.500 0.750
Si 0.000 0.000 0.002
Si 0.000 0.000 0.498

***

[6]
Pm2P2Rh3 | PBE | optimized geometry

Values from the calculation:
The value obtained for the formation energy is -23.0 kcal/mol of atoms.

Unit cell a=3.789 b=5.500 c=7.008 alpha=112.29 beta=90.00 gamma=110.15
Fractional coordinates of all 7 atoms:
Pm 0.868 0.736 0.225
Pm 0.132 0.264 0.775
P 0.847 0.694 0.771
P 0.153 0.306 0.229
Rh 0.500 0.000 0.000
Rh 0.637 0.273 0.428
Rh 0.363 0.727 0.572

***

[7]
Ac2Ga2Ir3 | PBE | optimized geometry

Values from the calculation:
As for the energy above the most stable polymorph in this dataset: 120.7 meV per atom. The value obtained for the formation energy is -11.6 kcal/mol of atoms.

Unit cell a=4.282 b=6.063 c=6.941 alpha=109.07 beta=90.00 gamma=110.68
Fractional coordinates of all 7 atoms:
Ac 0.881 0.763 0.199
Ac 0.119 0.237 0.801
Ga 0.813 0.627 0.665
Ga 0.187 0.373 0.335
Ir 0.500 0.000 0.000
Ir 0.587 0.174 0.417
Ir 0.413 0.826 0.583

***

[8]
La2Ni5Sn3 | PBE | optimized geometry

Values from the calculation:
The value obtained for the formation energy is -9.9 kcal/mol of atoms.

Unit cell a=6.247 b=8.564 c=8.564 alpha=72.95 beta=68.61 gamma=68.61
Fractional coordinates of all 20 atoms:
La 0.124 0.610 0.141
La 0.624 0.141 0.610
La 0.876 0.390 0.859
La 0.376 0.859 0.390
Ni 0.378 0.266 0.978
Ni 0.878 0.978 0.266
Ni 0.622 0.734 0.022
Ni 0.122 0.022 0.734
Ni 0.471 0.779 0.779
Ni 0.529 0.221 0.221
Ni 0.750 0.500 0.500
Ni 0.250 0.500 0.500
Ni 0.029 0.221 0.221
Ni 0.971 0.779 0.779
Sn 0.361 0.531 0.748
Sn 0.861 0.748 0.531
Sn 0.639 0.469 0.252
Sn 0.139 0.252 0.469
Sn 0.250 0.000 0.000
Sn 0.750 0.000 0.000

***

[9]
RbNi3Te | PBE | optimized geometry

Values from the calculation:
As for the energy above the most stable polymorph in this dataset: 0.0 meV per atom.

Unit cell a=4.859 b=4.859 c=4.859 alpha=90.00 beta=90.00 gamma=90.00
Fractional coordinates of all 5 atoms:
Ni 0.000 0.500 0.000
Ni 0.000 0.000 0.500
Ni 0.500 0.000 0.000
Te 0.000 0.000 0.000
Rb 0.500 0.500 0.500

***

[10]
YMnCl3 | PBE | optimized geometry

Values from the calculation:
As for the energy above the most stable polymorph in this dataset: 0.0 meV per atom.

Unit cell a=5.289 b=5.289 c=5.289 alpha=90.00 beta=90.00 gamma=90.00
Fractional coordinates of all 5 atoms:
Y 0.000 0.000 0.000
Mn 0.500 0.500 0.500
Cl 0.000 0.500 0.000
Cl 0.000 0.000 0.500
Cl 0.500 0.000 0.000

***

[11]
Li2Os2Br | PBE | optimized geometry

Values from the calculation:
As for the energy above the most stable polymorph in this dataset: 788.2 meV per atom.

Unit cell a=5.601 b=5.601 c=4.906 alpha=90.00 beta=90.00 gamma=90.00
Fractional coordinates of all 10 atoms:
Os 0.152 0.652 0.500
Os 0.652 0.848 0.500
Os 0.848 0.348 0.500
Os 0.348 0.152 0.500
Br 0.000 0.000 0.000
Br 0.500 0.500 0.000
Li 0.369 0.869 0.000
Li 0.869 0.631 0.000
Li 0.631 0.131 0.000
Li 0.131 0.369 0.000

***

[12]
LiReBr2 | PBE | optimized geometry

Values from the calculation:
As for the energy above the most stable polymorph in this dataset: 273.8 meV per atom.

Unit cell a=3.391 b=3.391 c=7.958 alpha=90.00 beta=90.00 gamma=123.26
Fractional coordinates of all 4 atoms:
Br 0.000 0.000 0.004
Br 0.000 0.000 0.496
Li 0.500 0.500 0.250
Re 0.500 0.500 0.750

***

[13]
FeCoIr3 | PBE | optimized geometry

Values from the calculation:
As for the energy above the most stable polymorph in this dataset: 327.3 meV per atom. The value obtained for the formation energy is 7.7 kcal/mol of atoms.

Unit cell a=2.668 b=6.775 c=8.403 alpha=90.00 beta=90.00 gamma=101.37
Fractional coordinates of all 10 atoms:
Fe 0.274 0.047 0.250
Fe 0.726 0.953 0.750
Co 0.943 0.386 0.250
Co 0.057 0.614 0.750
Ir 0.837 0.173 0.007
Ir 0.163 0.827 0.993
Ir 0.837 0.173 0.493
Ir 0.163 0.827 0.507
Ir 0.597 0.694 0.250
Ir 0.403 0.306 0.750

***

[14]
Ac3InSn6Pd2 | PBE | optimized geometry

Values from the calculation:
The value obtained for the formation energy is -7.5 kcal/mol of atoms.

Unit cell a=6.439 b=6.439 c=10.270 alpha=90.00 beta=90.00 gamma=120.00
Fractional coordinates of all 12 atoms:
Ac 0.333 0.667 0.584
Ac 0.667 0.333 0.416
Ac 0.000 0.000 0.000
In 0.000 0.000 0.500
Sn 0.650 0.825 0.268
Sn 0.175 0.350 0.268
Sn 0.175 0.825 0.268
Sn 0.825 0.650 0.732
Sn 0.350 0.175 0.732
Sn 0.825 0.175 0.732
Pd 0.667 0.333 0.940
Pd 0.333 0.667 0.060

***

[15]
Sc2Cd | PBE | optimized geometry

Values from the calculation:
The value obtained for the formation energy is 5.8 kcal/mol of atoms.

Unit cell a=6.871 b=6.871 c=6.871 alpha=90.00 beta=90.00 gamma=90.00
Fractional coordinates of all 12 atoms:
Sc 0.158 0.658 0.842
Sc 0.158 0.842 0.342
Sc 0.342 0.158 0.842
Sc 0.342 0.342 0.342
Sc 0.658 0.658 0.658
Sc 0.658 0.842 0.158
Sc 0.842 0.158 0.658
Sc 0.842 0.342 0.158
Cd 0.000 0.000 0.000
Cd 0.000 0.500 0.500
Cd 0.500 0.000 0.500
Cd 0.500 0.500 0.000

***

[16]
Zr5Fe2Hg | PBE | optimized geometry

Values from the calculation:
The value obtained for the formation energy is -2.9 kcal/mol of atoms.

Unit cell a=7.300 b=7.300 c=7.875 alpha=117.61 beta=117.61 gamma=90.00
Fractional coordinates of all 16 atoms:
Zr 0.520 0.710 0.730
Zr 0.790 0.980 0.270
Zr 0.000 0.000 0.000
Zr 0.500 0.500 0.000
Zr 0.210 0.020 0.730
Zr 0.710 0.210 0.730
Zr 0.020 0.520 0.730
Zr 0.290 0.790 0.270
Zr 0.980 0.480 0.270
Zr 0.480 0.290 0.270
Fe 0.136 0.364 0.000
Fe 0.636 0.136 0.000
Fe 0.364 0.864 0.000
Fe 0.864 0.636 0.000
Hg 0.750 0.750 0.500
Hg 0.250 0.250 0.500

***

[17]
TlIn2Rh | PBE | optimized geometry

Values from the calculation:
As for the energy above the most stable polymorph in this dataset: 109.5 meV per atom. The value obtained for the formation energy is -0.6 kcal/mol of atoms.

Unit cell a=3.208 b=3.208 c=8.859 alpha=90.00 beta=90.00 gamma=90.00
Fractional coordinates of all 4 atoms:
Tl 0.500 0.500 0.700
In 0.000 0.000 0.012
In 0.500 0.500 0.303
Rh 0.000 0.000 0.484

***

[18]
Sm5Os2 | PBE | optimized geometry

Values from the calculation:
The value obtained for the formation energy is -3.9 kcal/mol of atoms.

Unit cell a=6.548 b=7.410 c=8.684 alpha=96.65 beta=112.15 gamma=90.00
Fractional coordinates of all 14 atoms:
Sm 0.205 0.415 0.183
Sm 0.021 0.085 0.817
Sm 0.207 0.684 0.565
Sm 0.642 0.816 0.435
Sm 0.793 0.316 0.435
Sm 0.358 0.184 0.565
Sm 0.979 0.915 0.183
Sm 0.795 0.585 0.817
Sm 0.574 0.250 0.000
Sm 0.426 0.750 0.000
Os 0.176 0.424 0.780
Os 0.396 0.076 0.220
Os 0.824 0.576 0.220
Os 0.604 0.924 0.780

***

[19]
Cd2Ni2Sb | PBE | optimized geometry

Values from the calculation:
As for the energy above the most stable polymorph in this dataset: 215.3 meV per atom.

Unit cell a=3.823 b=3.823 c=6.898 alpha=73.91 beta=73.91 gamma=90.00
Fractional coordinates of all 5 atoms:
Sb 0.000 0.000 0.000
Ni 0.408 0.408 0.184
Ni 0.592 0.592 0.816
Cd 0.750 0.250 0.500
Cd 0.250 0.750 0.500

***

[20]
Tb2Dy2Ho7 | PBE | optimized geometry

Values from the calculation:
As for the energy above the most stable polymorph in this dataset: 44.5 meV per atom. The value obtained for the formation energy is 3.7 kcal/mol of atoms.

Unit cell a=6.005 b=11.073 c=7.957 alpha=45.91 beta=106.01 gamma=113.35
Fractional coordinates of all 11 atoms:
Tb 0.500 0.785 0.430
Tb 0.500 0.215 0.570
Dy 0.195 0.409 0.000
Dy 0.805 0.591 0.000
Ho 0.825 0.589 0.474
Ho 0.175 0.937 0.474
Ho 0.175 0.411 0.526
Ho 0.825 0.063 0.526
Ho 0.000 0.000 0.000
Ho 0.417 0.768 0.000
Ho 0.583 0.232 0.000